The following is a PBE calculation of a relaxed InGaRuPt crystal, from Alexandria.

Lattice parameters (Å, degrees): 4.4895 4.4895 4.4895 60.00 60.00 60.00
Positions (direct):
Ru: 0.0000 0.0000 0.0000
Ga: 0.7500 0.7500 0.7500
Pt: 0.5000 0.5000 0.5000
In: 0.2500 0.2500 0.2500

Values from the calculation:
The value obtained for the total energy is -5.511 eV per atom. The formation energy is -0.24 eV/atom.



The following is a PBE calculation of a relaxed TiCr3Cl crystal, from Alexandria.

Lattice parameters (Å, degrees): 4.4249 4.4249 4.4249 90.00 90.00 90.00
Positions (direct):
Cr: 0.0000 0.5000 0.0000
Cr: 0.0000 0.0000 0.5000
Cr: 0.5000 0.0000 0.0000
Cl: 0.5000 0.5000 0.5000
Ti: 0.0000 0.0000 0.0000

Values from the calculation:
The value obtained for the total energy is -5.811 eV per atom. The value obtained for the energy relative to the lowest polymorph listed for this composition is 1.2157 eV/atom. Its uncorrected formation energy is 1.91 eV/atom.



The following is a PBE calculation of a relaxed KCa crystal, from Alexandria.

Lattice parameters (Å, degrees): 4.0891 9.8319 5.9207 90.00 90.00 114.46
Positions (direct):
Ca: 0.3427 0.0938 0.2500
Ca: 0.6573 0.9062 0.7500
K: 0.8918 0.6376 0.2500
K: 0.1082 0.3624 0.7500

Values from the calculation:
The value obtained for the total energy is -1.405 eV per atom. The formation energy is 0.14 eV/atom.



The following is a PBE calculation of a relaxed Mn2NiAg crystal, from Alexandria.

Lattice parameters (Å, degrees): 2.8690 2.8690 7.0671 90.00 90.00 90.00
Site moments in Bohr magnetons follow the coordinates.
Positions (direct):
Ag: 0.5000 0.5000 0.7500  0.04
Mn: 0.0000 0.0000 0.0342  3.68
Mn: 0.0000 0.0000 0.4658  3.68
Ni: 0.5000 0.5000 0.2500  0.80

Values from the calculation:
The value obtained for the total energy is -6.595 eV per atom. The formation energy is 0.15 eV/atom. The value obtained for the energy relative to the lowest polymorph listed for this composition is 0.0000 eV/atom.



The following is a PBE calculation of a relaxed AcLaErMg crystal, from Alexandria.

Lattice parameters (Å, degrees): 5.7840 5.7840 5.7840 60.00 60.00 60.00
Positions (direct):
Ac: 0.2500 0.2500 0.2500
La: 0.7500 0.7500 0.7500
Mg: 0.0000 0.0000 0.0000
Er: 0.5000 0.5000 0.5000

Values from the calculation:
The value obtained for the total energy is -3.779 eV per atom. The formation energy is 0.02 eV/atom. The value obtained for the energy relative to the lowest polymorph listed for this composition is 0.0368 eV/atom.



The following is a PBE calculation of a relaxed Ir2PbCl crystal, from Alexandria.

Lattice parameters (Å, degrees): 4.5815 4.5815 4.5815 110.50 110.50 107.43
Positions (direct):
Pb: 0.5000 0.5000 0.0000
Ir: 0.0000 0.0000 0.0000
Ir: 0.2500 0.7500 0.5000
Cl: 0.7500 0.2500 0.5000

Values from the calculation:
The value obtained for the total energy is -4.974 eV per atom. The value obtained for the energy relative to the lowest polymorph listed for this composition is 0.6475 eV/atom. Its uncorrected formation energy is 0.85 eV/atom.



The following is a PBE calculation of a relaxed Ho2PbO crystal, from Alexandria.

Lattice parameters (Å, degrees): 3.1789 3.1789 7.8334 90.00 90.00 90.00
Positions (direct):
Pb: 0.5000 0.5000 0.5000
Ho: 0.0000 0.0000 0.8037
Ho: 0.0000 0.0000 0.1963
O: 0.5000 0.5000 0.0000

Values from the calculation:
The value obtained for the total energy is -5.489 eV per atom. The value obtained for the energy relative to the lowest polymorph listed for this composition is 0.7515 eV/atom. Its uncorrected formation energy is -1.03 eV/atom.



The following is a PBE calculation of a relaxed CePmSi crystal, from Alexandria.

Lattice parameters (Å, degrees): 4.4112 4.4112 8.9424 73.63 73.63 72.17
Site moments in Bohr magnetons follow the coordinates.
Positions (direct):
Ce: 0.6930 0.6930 0.0852  0.77
Ce: 0.3070 0.3070 0.9148  0.77
Pm: 0.7095 0.7095 0.6114  0.03
Pm: 0.2905 0.2905 0.3886  0.03
Si: 0.0139 0.0139 0.7563  -0.01
Si: 0.9861 0.9861 0.2437  -0.01

Values from the calculation:
The value obtained for the total energy is -5.750 eV per atom. The value obtained for the energy relative to the lowest polymorph listed for this composition is 0.1508 eV/atom. Its uncorrected formation energy is -0.38 eV/atom.